## 1
Here is an optimized crystal structure of AcSm6Hg2 from the Alexandria database. Energies are from PBE. Values from VASP.

```
&SYSTEM
  ibrav = 0, nat = 9, ntyp = 3
/
ATOMIC_SPECIES
Hg 200.59 Hg.upf
Sm 150.36 Sm.upf
Ac 227.00 Ac.upf
ATOMIC_POSITIONS crystal
Hg 0.653 0.919 0.775
Hg 0.347 0.081 0.225
Sm 0.309 0.509 0.873
Sm 0.015 0.309 0.661
Sm 0.691 0.491 0.127
Sm 0.985 0.691 0.339
Sm 0.313 0.792 0.582
Sm 0.687 0.208 0.418
Ac 0.000 0.000 0.000
CELL_PARAMETERS angstrom
3.795 0.000 0.603
1.664 6.357 1.772
0.029 -0.058 12.073
```

=====

## 2
Here is an optimized crystal structure of AcSm6Hg2 from the Alexandria database. Energies are from PBE. Values from VASP.

```
&SYSTEM
  ibrav = 0, nat = 18, ntyp = 3
/
ATOMIC_SPECIES
Sm 150.36 Sm.upf
Hg 200.59 Hg.upf
Ac 227.00 Ac.upf
ATOMIC_POSITIONS crystal
Sm 0.250 0.005 0.196
Sm 0.750 0.995 0.804
Sm 0.250 0.890 0.657
Sm 0.750 0.657 0.890
Sm 0.250 0.509 0.311
Sm 0.250 0.343 0.110
Sm 0.750 0.110 0.343
Sm 0.750 0.311 0.509
Sm 0.250 0.804 0.995
Sm 0.250 0.689 0.491
Sm 0.750 0.196 0.005
Sm 0.750 0.491 0.689
Hg 0.250 0.191 0.444
Hg 0.750 0.809 0.556
Hg 0.250 0.555 0.809
Hg 0.750 0.445 0.191
Ac 0.750 0.772 0.228
Ac 0.250 0.228 0.772
CELL_PARAMETERS angstrom
-1.824 -0.292 5.172
-0.645 -10.944 -0.846
8.952 -5.722 2.833
```

=====

Stability, highest: 1

=====

## 1
Here is an optimized crystal structure of Ac3SmHg2 from the Alexandria database. Energies are from PBE. Values from VASP.

```
&SYSTEM
  ibrav = 0, nat = 12, ntyp = 3
/
ATOMIC_SPECIES
Hg 200.59 Hg.upf
Ac 227.00 Ac.upf
Sm 150.36 Sm.upf
ATOMIC_POSITIONS crystal
Hg 0.154 0.864 0.729
Hg 0.426 0.636 0.271
Hg 0.846 0.136 0.271
Hg 0.574 0.364 0.729
Ac 0.226 0.476 0.453
Ac 0.500 0.250 0.000
Ac 0.226 0.976 0.453
Ac 0.500 0.750 0.000
Ac 0.774 0.024 0.547
Ac 0.774 0.524 0.547
Sm 0.000 0.000 0.000
Sm 0.000 0.500 0.000
CELL_PARAMETERS angstrom
-2.850 -1.911 7.105
2.044 -7.663 -1.242
7.271 6.114 0.180
```

=====

## 2
Here is an optimized crystal structure of Ac3SmHg2 from the Alexandria database. Energies are from PBE. Values from VASP.

```
&SYSTEM
  ibrav = 0, nat = 12, ntyp = 3
/
ATOMIC_SPECIES
Ac 227.00 Ac.upf
Sm 150.36 Sm.upf
Hg 200.59 Hg.upf
ATOMIC_POSITIONS crystal
Ac 0.000 0.330 0.334
Ac 0.000 0.830 0.666
Ac 0.000 0.988 0.059
Ac 0.000 0.488 0.941
Ac 0.500 0.165 0.820
Ac 0.500 0.665 0.180
Sm 0.500 0.513 0.559
Sm 0.500 0.013 0.441
Hg 0.000 0.792 0.353
Hg 0.500 0.713 0.846
Hg 0.000 0.292 0.647
Hg 0.500 0.213 0.154
CELL_PARAMETERS angstrom
-1.428 -5.390 0.429
0.695 -0.764 -7.284
9.884 -2.522 1.208
```

=====

Stability, highest: 2

=====

## 1
Here is an optimized crystal structure of Ac2Sm3Hg4 from the Alexandria database. Energies are from PBE. Values from VASP.

```
&SYSTEM
  ibrav = 0, nat = 18, ntyp = 3
/
ATOMIC_SPECIES
Hg 200.59 Hg.upf
Sm 150.36 Sm.upf
Ac 227.00 Ac.upf
ATOMIC_POSITIONS crystal
Hg 0.674 0.531 0.348
Hg 0.826 0.031 0.652
Hg 0.191 0.750 0.883
Hg 0.174 0.969 0.348
Hg 0.691 0.750 0.883
Hg 0.309 0.250 0.117
Hg 0.809 0.250 0.117
Hg 0.326 0.469 0.652
Sm 0.982 0.250 0.465
Sm 0.518 0.750 0.535
Sm 0.018 0.750 0.535
Sm 0.500 0.500 0.000
Sm 0.482 0.250 0.465
Sm 0.000 0.000 0.000
Ac 0.400 0.085 0.799
Ac 0.900 0.415 0.799
Ac 0.600 0.915 0.201
Ac 0.100 0.585 0.201
CELL_PARAMETERS angstrom
-0.231 7.217 0.759
-8.282 0.032 -2.830
-2.774 -4.590 8.067
```

=====

## 2
Here is an optimized crystal structure of Ac2Sm3Hg4 from the Alexandria database. Energies are from PBE. Values from VASP.

```
&SYSTEM
  ibrav = 0, nat = 18, ntyp = 3
/
ATOMIC_SPECIES
Ac 227.00 Ac.upf
Hg 200.59 Hg.upf
Sm 150.36 Sm.upf
ATOMIC_POSITIONS crystal
Ac 0.937 0.808 0.831
Ac 0.063 0.192 0.169
Ac 0.563 0.192 0.331
Ac 0.437 0.808 0.669
Hg 0.136 0.497 0.875
Hg 0.653 0.928 0.049
Hg 0.847 0.072 0.549
Hg 0.636 0.497 0.625
Hg 0.153 0.928 0.451
Hg 0.864 0.503 0.125
Hg 0.347 0.072 0.951
Hg 0.364 0.503 0.375
Sm 0.270 0.758 0.160
Sm 0.000 0.500 0.500
Sm 0.730 0.242 0.840
Sm 0.770 0.758 0.340
Sm 0.500 0.500 0.000
Sm 0.230 0.242 0.660
CELL_PARAMETERS angstrom
-4.640 -3.887 -5.864
7.260 -5.214 2.380
-4.243 -3.359 5.583
```

=====

Stability, highest: 2

=====

## 1
Here is an optimized crystal structure of AcSm2Hg2 from the Alexandria database. Energies are from PBE. Values from VASP.

```
&SYSTEM
  ibrav = 0, nat = 5, ntyp = 3
/
ATOMIC_SPECIES
Hg 200.59 Hg.upf
Sm 150.36 Sm.upf
Ac 227.00 Ac.upf
ATOMIC_POSITIONS crystal
Hg 0.667 0.333 0.820
Hg 0.333 0.667 0.180
Sm 0.333 0.667 0.659
Sm 0.667 0.333 0.341
Ac 0.000 0.000 0.000
CELL_PARAMETERS angstrom
-1.787 -2.908 4.283
5.310 1.273 -0.421
-1.051 5.468 3.274
```

=====

## 2
Here is an optimized crystal structure of AcSm2Hg2 from the Alexandria database. Energies are from PBE. Values from VASP.

```
&SYSTEM
  ibrav = 0, nat = 5, ntyp = 3
/
ATOMIC_SPECIES
Sm 150.36 Sm.upf
Ac 227.00 Ac.upf
Hg 200.59 Hg.upf
ATOMIC_POSITIONS crystal
Sm 0.000 0.180 0.640
Sm 0.000 0.820 0.360
Ac 0.000 0.000 0.000
Hg 0.500 0.397 0.207
Hg 0.500 0.603 0.793
CELL_PARAMETERS angstrom
3.870 0.000 0.000
0.000 3.860 0.731
0.000 -0.045 10.792
```

=====

Stability, highest: 2

=====

## 1
Here is an optimized crystal structure of AcSm3Hg2 from the Alexandria database. Energies are from PBE. Values from VASP.

```
&SYSTEM
  ibrav = 0, nat = 12, ntyp = 3
/
ATOMIC_SPECIES
Sm 150.36 Sm.upf
Hg 200.59 Hg.upf
Ac 227.00 Ac.upf
ATOMIC_POSITIONS crystal
Sm 0.382 0.763 0.286
Sm 0.618 0.237 0.714
Sm 0.302 0.604 0.605
Sm 0.934 0.869 0.590
Sm 0.698 0.396 0.395
Sm 0.066 0.131 0.410
Hg 0.500 0.001 0.163
Hg 0.500 0.999 0.837
Hg 0.224 0.449 0.841
Hg 0.776 0.551 0.159
Ac 0.870 0.741 0.929
Ac 0.130 0.259 0.071
CELL_PARAMETERS angstrom
5.495 0.000 0.000
-2.747 9.378 -0.600
0.000 -4.793 7.731
```

=====

## 2
Here is an optimized crystal structure of AcSm3Hg2 from the Alexandria database. Energies are from PBE. Values from VASP.

```
&SYSTEM
  ibrav = 0, nat = 6, ntyp = 3
/
ATOMIC_SPECIES
Ac 227.00 Ac.upf
Sm 150.36 Sm.upf
Hg 200.59 Hg.upf
ATOMIC_POSITIONS crystal
Ac 0.500 0.500 0.500
Sm 0.000 0.000 0.000
Sm 0.000 0.000 0.707
Sm 0.000 0.000 0.293
Hg 0.500 0.500 0.851
Hg 0.500 0.500 0.149
CELL_PARAMETERS angstrom
3.807 0.000 0.000
0.000 3.807 0.000
0.000 0.000 12.811
```

=====

Stability, highest: 2

=====

## 1
Here is an optimized crystal structure of AcSmZnHg from the Alexandria database. Energies are from PBE. Values from VASP.

```
&SYSTEM
  ibrav = 0, nat = 4, ntyp = 4
/
ATOMIC_SPECIES
Ac 227.00 Ac.upf
Zn 65.41 Zn.upf
Hg 200.59 Hg.upf
Sm 150.36 Sm.upf
ATOMIC_POSITIONS crystal
Ac 0.750 0.750 0.750
Zn 0.000 0.000 0.000
Hg 0.500 0.500 0.500
Sm 0.250 0.250 0.250
CELL_PARAMETERS angstrom
5.468 0.000 0.000
2.734 4.735 0.000
2.734 1.578 4.464
```

=====

## 2
Here is an optimized crystal structure of AcSmZnHg from the Alexandria database. Energies are from PBE. Values from VASP.

```
&SYSTEM
  ibrav = 0, nat = 4, ntyp = 4
/
ATOMIC_SPECIES
Zn 65.41 Zn.upf
Sm 150.36 Sm.upf
Hg 200.59 Hg.upf
Ac 227.00 Ac.upf
ATOMIC_POSITIONS crystal
Zn 0.000 0.000 0.385
Sm 0.500 0.500 0.592
Hg 0.000 0.000 0.829
Ac 0.500 0.500 0.122
CELL_PARAMETERS angstrom
-3.765 -0.015 0.685
-0.238 -3.559 -1.387
1.302 -2.852 7.095
```

=====

Stability, highest: 2